No. 1
The following is a PBE-GGA calculation of a relaxed BC crystal, from the Alexandria database.

```
12
Lattice="4.2906 0.0000 0.0000 0.8920 4.3995 0.0000 1.5933 0.7449 4.2521" Properties=species:S:1:pos:R:3 pbc="T T T"
B 0.0000 0.0000 0.0000
B 1.8294 4.2330 2.3558
B 3.3312 3.0557 4.0977
B 2.4163 1.8598 1.5997
B 3.7559 4.3463 3.0929
B 4.2778 2.2968 2.6708
C 1.5290 2.7179 2.5814
C 2.2176 0.3207 1.6389
C 3.8501 3.9265 0.6254
C 3.6465 2.4410 0.7946
C 4.2505 0.7363 3.2735
C 6.1594 2.3560 4.1202
```

Computed properties:
symmetry: P1 (1)
energy relative to the elements: 0.396 eV per atom
crystal system: triclinic
M_tot: 0.000 μB/atom

---

No. 2
The following is a PBE-GGA calculation of a relaxed B11C crystal, from the Alexandria database.

```
12
Lattice="2.4681 -4.2121 0.0000 2.4681 4.2121 0.0000 -1.4476 0.0000 4.2135" Properties=species:S:1:pos:R:3 pbc="T T T"
B 0.0000 0.0000 0.0000
B 1.1430 1.3837 0.7215
B 0.3832 0.0000 1.6082
B 1.1428 1.8136 3.9332
B 1.4257 1.1371 2.4229
B 1.1430 -1.3837 0.7215
B 2.8370 1.3184 1.3377
B 1.4257 -1.1371 2.4229
B 1.1428 -1.8136 3.9332
B 2.9260 0.0000 2.6337
B 2.8370 -1.3184 1.3377
C 3.7487 0.0000 1.2414
```

Computed properties:
symmetry: Cm (8)
energy relative to the elements: 0.274 eV per atom
crystal system: monoclinic
M_tot: 0.000 μB/atom

---

No. 3
The following is a PBE-GGA calculation of a relaxed B3C crystal, from the Alexandria database.

```
12
Lattice="6.9781 -1.2937 0.0000 6.9781 1.2937 0.0000 -1.6351 0.0000 4.6739" Properties=species:S:1:pos:R:3 pbc="T T T"
B 0.0000 0.0000 0.0000
B 1.4744 0.0000 0.8990
B 0.6441 0.0000 4.0006
B 2.8937 0.0000 3.4136
B 4.6450 0.0000 3.5776
B 6.1053 0.0000 2.5332
B 8.6972 0.0000 2.1482
B 10.5339 0.0000 2.4476
B 12.7078 0.0000 1.2714
C 3.8141 0.0000 0.1904
C 7.5004 0.0000 3.1500
C 11.1212 0.0000 0.9529
```

Computed properties:
symmetry: Cm (8)
energy relative to the elements: 0.527 eV per atom
crystal system: monoclinic
M_tot: 0.000 μB/atom

---

No. 4
The following is a PBE-GGA calculation of a relaxed B3C crystal, from the Alexandria database.

```
12
Lattice="4.2692 0.0000 0.0000 0.0000 2.7214 0.0000 -0.4355 0.0000 7.2018" Properties=species:S:1:pos:R:3 pbc="T T T"
B 0.0000 0.0000 0.0000
B -0.0256 1.3607 1.0193
B 0.8298 0.0000 3.4838
B 1.1593 1.3607 2.4475
B 1.4929 1.3607 0.1181
B 2.4069 0.0000 2.6391
B 2.8711 0.0000 0.9876
B 2.8989 1.3607 5.5005
B 3.8118 1.3607 2.7626
C 0.7822 0.0000 5.1016
C 1.3824 1.3607 5.6966
C 3.6187 0.0000 5.5926
```

Computed properties:
symmetry: Pm (6)
energy relative to the elements: 0.473 eV per atom
crystal system: monoclinic
M_tot: 0.000 μB/atom

---

No. 5
The following is a PBE-GGA calculation of a relaxed BC crystal, from the Alexandria database.

```
12
Lattice="4.5145 -1.3156 0.0000 4.5145 1.3156 0.0000 -2.9259 0.0000 7.6247" Properties=species:S:1:pos:R:3 pbc="T T T"
B 0.0000 0.0000 0.0000
B -0.2490 0.0000 5.3791
B 2.2641 0.0000 0.6136
B 2.2006 0.0000 6.4461
B 3.7112 0.0000 3.2581
B 4.9257 0.0000 2.0035
C -1.3284 0.0000 3.8530
C 0.8991 0.0000 1.3876
C 1.3284 0.0000 4.9837
C 3.7951 0.0000 6.2572
C 7.4003 0.0000 0.0165
C 6.4277 0.0000 4.5220
```

Computed properties:
symmetry: Cm (8)
energy relative to the elements: 0.337 eV per atom
crystal system: monoclinic
M_tot: 0.000 μB/atom

---

No. 6
The following is a PBE-GGA calculation of a relaxed B7C5 crystal, from the Alexandria database.

```
12
Lattice="6.3707 -1.2777 0.0000 6.3707 1.2777 0.0000 -1.1009 0.0000 5.1790" Properties=species:S:1:pos:R:3 pbc="T T T"
B 0.0000 0.0000 0.0000
B -0.4677 0.0000 2.2031
B 0.4176 0.0000 3.9815
B 4.0738 0.0000 4.7144
B 4.6258 0.0000 2.1640
B 9.3621 0.0000 0.4564
B 8.8269 0.0000 3.0149
C 0.9014 0.0000 1.3571
C 3.9936 0.0000 0.6608
C 3.4651 0.0000 3.2497
C 8.0788 0.0000 1.5322
C 7.5521 0.0000 4.1184
```

Computed properties:
symmetry: Cm (8)
energy relative to the elements: 0.438 eV per atom
crystal system: monoclinic
M_tot: 0.000 μB/atom